# Y2HoAl3, optimized geometry, DFT GGA-PBE
# calculated formation energy = -39.7 kJ/mol of atoms
data_Y2HoAl3
_chemical_formula_sum 'Y2 Ho1 Al3'
_symmetry_space_group_name_H-M 'P 4/m m m'
_symmetry_Int_Tables_number 123
_symmetry_space_group_name_Hall '-P 4 2'
_cell_length_a 3.587
_cell_length_b 3.587
_cell_length_c 10.855
_cell_angle_alpha 90.00
_cell_angle_beta 90.00
_cell_angle_gamma 90.00
loop_
_atom_site_label
_atom_site_type_symbol
_atom_site_fract_x
_atom_site_fract_y
_atom_site_fract_z
_atom_site_occupancy
Y1 Y 0.000 0.000 0.168 1
Ho1 Ho 0.000 0.000 0.500 1
Al1 Al 0.500 0.500 0.000 1
Al2 Al 0.500 0.500 0.335 1